one) A plane-wave DFT calculation with PBE was carried out for a relaxed LiRhF2 crystal.

Lattice parameters (Å, degrees): 4.0304 4.0304 4.0304 60.00 60.00 60.00
Element x y z (fractional)
Li  0.0000  0.0000  0.0000
Rh  0.5000  0.5000  0.5000
F  0.2500  0.2500  0.2500
F  0.7500  0.7500  0.7500

Values from the calculation:
Crystal system: cubic
M_tot: 0.506 μB/atom
DOS(E_F): 2.26 states/eV/cell



two) A plane-wave DFT calculation with PBE was carried out for a relaxed LiRhF2 crystal.

Lattice parameters (Å, degrees): 6.4941 6.4941 6.4941 24.70 24.70 24.70
Element x y z (fractional)
Li  0.0000  0.0000  0.0000
Rh  0.5000  0.5000  0.5000
F  0.3930  0.3930  0.3930
F  0.6070  0.6070  0.6070

Values from the calculation:
Crystal system: trigonal
M_tot: 0.075 μB/atom
DOS(E_F): 2.46 states/eV/cell



Which structure loses on stability? one) does.